# VRhN2F

A relaxed VRhN2F crystal (PBE+U, the Alexandria database).

a b c (Å): 3.8835 3.8835 3.7451
angles (deg): 90.00 90.00 90.00
Closest atoms and distances in Å follow each position.
Positions (direct):
N 0.5000 0.0000 0.0000  2 V 1.94
N 0.0000 0.5000 0.0000  2 V 1.94
V 0.0000 0.0000 0.0000  2 F 1.87, 4 N 1.94
Rh 0.5000 0.5000 0.5000  8 N 2.70, 4 F 2.75
F 0.0000 0.0000 0.5000  2 V 1.87

Calculated values
SG: P4/mmm (123)
Magnetization in μB/f.u.: 1.508
ΔE to the lowest computed polymorph in eV/atom: 0.0000